## NaTcIr2 (PBE-GGA)

Data for a relaxed NaTcIr2 crystal.

Properties
The calculation puts the final energy at -6.79 eV/atom. The space group is Fm-3m, No. 225.

Cell and atoms, written as POSCAR:
```
NaTcIr2
1.0
0.000 3.122 3.122
3.122 0.000 3.122
3.122 3.122 0.000
Ir Na Tc
2 1 1
Cartesian
4.683 4.683 4.683
1.561 1.561 1.561
0.000 0.000 0.000
3.122 3.122 3.122
```

## ScBTe3 (PBE-GGA)

Data for a relaxed ScBTe3 crystal.

Properties
The space group is Pm-3m, No. 221. The raw formation energy comes out at 6.20 kcal/mol of atoms.

Cell and atoms, written as POSCAR:
```
ScBTe3
1.0
-3.216 -1.151 3.498
-2.903 -2.064 -3.349
2.265 -4.280 0.674
B Te Sc
1 3 1
Cartesian
0.000 0.000 0.000
-1.608 -0.576 1.749
1.133 -2.140 0.337
-1.452 -1.032 -1.674
-1.927 -3.748 0.412
```

## ScIrF3 (PBE-GGA)

Data for a relaxed ScIrF3 crystal.

Properties
The space group is Pm-3m, No. 221. The raw formation energy comes out at -16.92 kcal/mol of atoms.

Cell and atoms, written as POSCAR:
```
ScIrF3
1.0
-0.303 -2.429 3.543
-0.353 -3.526 -2.447
4.281 -0.463 0.049
Ir F Sc
1 3 1
Cartesian
0.000 0.000 0.000
2.141 -0.231 0.024
-0.152 -1.214 1.772
-0.177 -1.763 -1.224
1.812 -3.209 0.573
```

## Pm3NdPb5 (PBE-GGA)

Data for a relaxed Pm3NdPb5 crystal.

Properties
The calculation puts the final energy at -4.63 eV/atom. The space group is P6_3/mcm, No. 193.

Cell and atoms, written as POSCAR:
```
Pm3NdPb5
1.0
-3.469 -1.299 -5.531
-7.762 -2.300 5.408
1.312 9.176 -2.978
Pm Pb Nd
6 10 2
Cartesian
-2.104 2.506 -5.278
-5.546 -1.847 -2.097
-5.685 -1.753 1.974
-6.605 3.294 -2.640
-3.314 2.283 -0.461
-0.053 5.371 -3.231
-4.738 1.525 2.613
-3.139 -0.998 0.200
-1.673 5.516 -6.254
-5.429 4.539 0.336
-1.713 5.351 -0.182
-6.472 0.876 -0.153
-0.483 2.361 -2.254
-4.490 1.039 -3.437
-8.092 -2.601 -0.323
-3.447 4.701 -2.948
-1.734 -0.649 -2.766
0.000 0.000 0.000
```

## LuSbPdRu (PBE-GGA)

Data for a relaxed LuSbPdRu crystal.

Properties
The space group is F-43m, No. 216. The raw formation energy comes out at -12.54 kcal/mol of atoms.

Cell and atoms, written as POSCAR:
```
LuSbPdRu
1.0
4.685 0.000 0.000
2.342 4.057 0.000
2.342 1.352 3.825
Sb Ru Lu Pd
1 1 1 1
Cartesian
7.027 4.057 2.869
4.685 2.705 1.913
2.342 1.352 0.956
0.000 0.000 0.000
```

## Ac6Ir2Pt3Au (PBE-GGA)

Data for a relaxed Ac6Ir2Pt3Au crystal.

Properties
The calculation puts the final energy at -6.23 eV/atom. The space group is C2/m, No. 12.

Cell and atoms, written as POSCAR:
```
Ac6Ir2Pt3Au
1.0
-1.690 -0.898 3.950
6.491 -5.764 1.467
4.425 8.612 1.411
Au Ac Ir Pt
1 6 2 3
Cartesian
-0.845 -0.449 1.975
8.204 0.124 3.537
7.467 3.386 6.402
1.022 1.827 3.291
5.106 2.958 2.856
4.120 -1.008 3.972
1.759 -1.435 0.426
3.324 0.796 1.603
5.902 1.154 5.225
2.650 4.127 4.510
6.577 -2.177 2.318
2.401 -3.331 2.708
```

## NdAlZn (PBE-GGA)

Data for a relaxed NdAlZn crystal.

Properties
The calculation puts the final energy at -3.49 eV/atom. The space group is I4mm, No. 107.

Cell and atoms, written as POSCAR:
```
NdAlZn
1.0
-2.456 2.281 -0.504
-0.857 -1.561 -2.884
-1.997 -3.661 4.567
Zn Al Nd
1 1 1
Cartesian
-2.252 -2.034 1.770
-4.751 -2.435 0.739
-2.523 -0.423 -1.013
```

## BaLa2Cd (PBE-GGA)

Data for a relaxed BaLa2Cd crystal.

Properties
The calculation puts the final energy at -3.15 eV/atom. The space group is I-4m2, No. 119.

Cell and atoms, written as POSCAR:
```
BaLa2Cd
1.0
-1.456 -4.054 4.857
3.221 -5.614 -0.496
1.840 6.222 -0.206
La Ba Cd
2 1 1
Cartesian
0.000 0.000 0.000
2.972 -2.113 0.739
0.883 -4.834 2.180
0.634 -1.333 3.416
```